Below is crystalline CaCd2Pd at its relaxed geometry, with properties calculated at the PBE level.

- E_form: -505 meV per atom

Lattice parameters (Å, degrees): 16.0796 8.1775 5.5784 90.00 90.00 90.00
Space group Pnma (No. 62)
Asymmetric unit:
Ca 0.1068 0.2500 0.2407
Ca 0.1396 0.7500 0.4516
Cd 0.0367 0.0557 0.7414
Cd 0.2133 0.5547 0.9463
Pd 0.0681 0.7500 0.9625
Pd 0.1839 0.2500 0.7342


Below is crystalline CaCdPd2 at its relaxed geometry, with properties calculated at the PBE level.

- E_form: -284 meV per atom

Lattice parameters (Å, degrees): 5.5151 5.3570 13.3787 90.00 90.00 90.00
Space group Pmma (No. 51)
Asymmetric unit:
Ca 0.2500 0.0000 0.0770
Ca 0.2500 0.5000 0.4064
Cd 0.2500 0.0000 0.8132
Cd 0.2500 0.5000 0.8219
Pd 0.0000 0.0000 0.5000
Pd 0.0000 0.5000 0.0000
Pd 0.2500 0.2549 0.6385


Below is crystalline CaCdPd2 at its relaxed geometry, with properties calculated at the PBE level.

- E_form: -196 meV per atom

Lattice parameters (Å, degrees): 4.3512 4.3512 18.5858 90.00 90.00 90.00
Space group I-42d (No. 122)
Asymmetric unit:
Ca 0.0000 0.0000 0.0000
Cd 0.0000 0.0000 0.5000
Pd 0.2143 0.2500 0.6250


Below is crystalline CaCd2Pd at its relaxed geometry, with properties calculated at the PBE level.

- E_form: -349 meV per atom

Lattice parameters (Å, degrees): 4.2820 4.2820 4.8064 90.00 90.00 90.00
Space group P4/mmm (No. 123)
Asymmetric unit:
Ca 0.0000 0.0000 0.0000
Cd 0.0000 0.5000 0.5000
Pd 0.5000 0.5000 0.0000


Below is crystalline CaCd6Pd4 at its relaxed geometry, with properties calculated at the PBE level.

- E_form: -303 meV per atom

Lattice parameters (Å, degrees): 7.0181 7.0181 10.1986 90.00 90.00 90.00
Space group I-42m (No. 121)
Asymmetric unit:
Ca 0.0000 0.0000 0.0000
Cd 0.0000 0.5000 0.0000
Cd 0.1824 0.1824 0.2930
Pd 0.1710 0.1710 0.5723


Below is crystalline CaCd4Pd15 at its relaxed geometry, with properties calculated at the PBE level.

- E_form: -288 meV per atom

Lattice parameters (Å, degrees): 4.0553 4.0553 20.2007 90.00 90.00 90.00
Space group P4/mmm (No. 123)
Asymmetric unit:
Ca 0.0000 0.0000 0.0000
Cd 0.0000 0.0000 0.2041
Cd 0.0000 0.0000 0.4013
Pd 0.0000 0.5000 0.1053
Pd 0.0000 0.5000 0.3028
Pd 0.0000 0.5000 0.5000
Pd 0.5000 0.5000 0.0000
Pd 0.5000 0.5000 0.2033
Pd 0.5000 0.5000 0.4014


Below is crystalline Ca5CdPd4 at its relaxed geometry, with properties calculated at the PBE level.

- E_form: -615 meV per atom

Lattice parameters (Å, degrees): 3.6065 3.6065 17.8212 90.00 90.00 90.00
Space group P4/mmm (No. 123)
Asymmetric unit:
Ca 0.0000 0.0000 0.0000
Ca 0.0000 0.0000 0.1916
Ca 0.0000 0.0000 0.3829
Cd 0.5000 0.5000 0.5000
Pd 0.5000 0.5000 0.0965
Pd 0.5000 0.5000 0.2885


Below is crystalline Ca6CdPd5 at its relaxed geometry, with properties calculated at the PBE level.

- E_form: -613 meV per atom

Lattice parameters (Å, degrees): 5.0532 7.2010 15.1563 90.00 90.00 90.00
Space group Immm (No. 71)
Asymmetric unit:
Ca 0.0000 0.2337 0.0000
Ca 0.0000 0.2580 0.3273
Cd 0.0000 0.0000 0.5000
Pd 0.0000 0.0000 0.1681
Pd 0.0000 0.5000 0.1577
Pd 0.0000 0.5000 0.5000


Below is crystalline Ca12CdPd5 at its relaxed geometry, with properties calculated at the PBE level.

- E_form: -476 meV per atom

Lattice parameters (Å, degrees): 9.6152 9.8911 11.0209 90.00 90.00 90.00
Space group Immm (No. 71)
Asymmetric unit:
Ca 0.0000 0.1892 0.2342
Ca 0.1842 0.5000 0.1626
Ca 0.2166 0.3252 0.5000
Cd 0.0000 0.0000 0.5000
Pd 0.0000 0.0000 0.0000
Pd 0.0000 0.3237 0.0000
Pd 0.0000 0.5000 0.3715


Below is crystalline CaCd11Pd at its relaxed geometry, with properties calculated at the PBE level.

- E_form: -161 meV per atom

Lattice parameters (Å, degrees): 5.8231 14.3016 7.5614 90.00 111.69 90.00
Space group C2/m (No. 12)
Asymmetric unit:
Ca 0.0000 0.0000 0.0000
Cd 0.0000 0.5000 0.5000
Cd 0.1185 0.3956 0.2150
Cd 0.1626 0.1704 0.3577
Cd 0.2500 0.2500 0.0000
Pd 0.0000 0.0000 0.5000


Below is crystalline CaCdPd2 at its relaxed geometry, with properties calculated at the PBE level.

- E_form: -566 meV per atom

Lattice parameters (Å, degrees): 4.6001 4.6001 3.6149 90.00 90.00 90.00
Space group P4/mmm (No. 123)
Asymmetric unit:
Ca 0.0000 0.0000 0.0000
Cd 0.5000 0.5000 0.0000
Pd 0.0000 0.5000 0.5000


Below is crystalline CaPm2CdPd4 at its relaxed geometry, with properties calculated at the PBE level.

- E_form: -690 meV per atom

Lattice parameters (Å, degrees): 4.9621 4.9621 24.3248 90.00 90.00 120.00
Space group R-3m (No. 166, hexagonal axes)
Asymmetric unit:
Ca 0.0000 0.0000 0.0000
Pm 0.0000 0.0000 0.2451
Cd 0.0000 0.0000 0.5000
Pd 0.0000 0.0000 0.1241
Pd 0.0000 0.0000 0.3766


Below is crystalline CaPmCdPd at its relaxed geometry, with properties calculated at the PBE level.

- E_form: -497 meV per atom

Lattice parameters (Å, degrees): 7.3702 7.3702 7.3702 90.00 90.00 90.00
Space group F-43m (No. 216)
Asymmetric unit:
Ca 0.0000 0.0000 0.0000
Pm 0.0000 0.0000 0.5000
Cd 0.2500 0.2500 0.2500
Pd 0.2500 0.2500 0.7500


Below is crystalline CaPrCdPd at its relaxed geometry, with properties calculated at the PBE level.

- E_form: -492 meV per atom

Lattice parameters (Å, degrees): 7.4308 7.4308 7.4308 90.00 90.00 90.00
Space group F-43m (No. 216)
Asymmetric unit:
Ca 0.0000 0.0000 0.0000
Pr 0.0000 0.0000 0.5000
Cd 0.2500 0.2500 0.2500
Pd 0.2500 0.2500 0.7500


Below is crystalline CaCdPdPt at its relaxed geometry, with properties calculated at the PBE level.

- ΔE to the lowest computed polymorph: 0.06 eV/f.u.
- E_form: -576 meV per atom

Lattice parameters (Å, degrees): 6.7571 6.7571 6.7571 90.00 90.00 90.00
Space group F-43m (No. 216)
Asymmetric unit:
Ca 0.0000 0.0000 0.0000
Cd 0.0000 0.0000 0.5000
Pd 0.2500 0.2500 0.7500
Pt 0.2500 0.2500 0.2500


Below is crystalline CaCdPdPt at its relaxed geometry, with properties calculated at the PBE level.

- ΔE to the lowest computed polymorph: 0.00 eV/f.u.
- E_form: -591 meV per atom

Lattice parameters (Å, degrees): 4.4517 4.4517 7.7180 90.00 90.00 90.00
Space group I-4m2 (No. 119)
Asymmetric unit:
Ca 0.0000 0.0000 0.0000
Cd 0.0000 0.0000 0.5000
Pd 0.0000 0.5000 0.7500
Pt 0.0000 0.5000 0.2500


Below is crystalline RbCaCd2Pd at its relaxed geometry, with properties calculated at the PBE level.

- E_form: -227 meV per atom

Lattice parameters (Å, degrees): 5.4727 5.4727 5.3772 90.00 90.00 90.00
Space group P4/mmm (No. 123)
Asymmetric unit:
Rb 0.0000 0.0000 0.0000
Ca 0.5000 0.5000 0.0000
Cd 0.0000 0.5000 0.5000
Pd 0.5000 0.5000 0.5000


Below is crystalline Ca3Cd3PdRh2 at its relaxed geometry, with properties calculated at the PBE level.

- E_form: -447 meV per atom

Lattice parameters (Å, degrees): 7.3489 7.3489 4.2614 90.00 90.00 120.00
Space group P-62m (No. 189)
Asymmetric unit:
Ca 0.0000 0.5848 0.0000
Cd 0.0000 0.2522 0.5000
Pd 0.0000 0.0000 0.0000
Rh 0.3333 0.6667 0.5000


Below is crystalline Ca2CdSb3Pd4 at its relaxed geometry, with properties calculated at the PBE level.

- Energy relative to the elements, uncorrected: -693 meV per atom

Lattice parameters (Å, degrees): 4.5355 4.5355 11.0099 90.00 90.00 90.00
Space group P-4m2 (No. 115)
Asymmetric unit:
Ca 0.0000 0.5000 0.2370
Cd 0.0000 0.0000 0.5000
Sb 0.0000 0.5000 0.8695
Sb 0.5000 0.5000 0.5000
Pd 0.0000 0.0000 0.0000
Pd 0.0000 0.5000 0.6360
Pd 0.5000 0.5000 0.0000


Below is crystalline CaCd2SbPd4 at its relaxed geometry, with properties calculated at the PBE level.

- Energy relative to the elements, uncorrected: -510 meV per atom

Lattice parameters (Å, degrees): 4.7723 4.7723 22.9114 90.00 90.00 120.00
Space group R-3m (No. 166, hexagonal axes)
Asymmetric unit:
Ca 0.0000 0.0000 0.0000
Cd 0.0000 0.0000 0.2565
Sb 0.0000 0.0000 0.5000
Pd 0.0000 0.0000 0.1330
Pd 0.0000 0.0000 0.3827


Below is crystalline CaScCdPd at its relaxed geometry, with properties calculated at the PBE level.

- ΔE to the lowest computed polymorph: 0.00 eV/f.u.
- E_form: -574 meV per atom

Lattice parameters (Å, degrees): 3.4712 3.4712 7.4718 90.00 90.00 90.00
Space group P4mm (No. 99)
Asymmetric unit:
Ca 0.0000 0.0000 0.0000
Sc 0.0000 0.0000 0.5495
Cd 0.5000 0.5000 0.3010
Pd 0.5000 0.5000 0.7264


Below is crystalline CaScCdPd at its relaxed geometry, with properties calculated at the PBE level.

- ΔE to the lowest computed polymorph: 0.54 eV/f.u.
- E_form: -439 meV per atom

Lattice parameters (Å, degrees): 7.0696 7.0696 7.0696 90.00 90.00 90.00
Space group F-43m (No. 216)
Asymmetric unit:
Ca 0.0000 0.0000 0.0000
Sc 0.0000 0.0000 0.5000
Cd 0.2500 0.2500 0.7500
Pd 0.2500 0.2500 0.2500


Below is crystalline CaScCdPd2 at its relaxed geometry, with properties calculated at the PBE level.

- E_form: 275 meV per atom

Lattice parameters (Å, degrees): 5.1125 5.1125 5.0331 90.00 90.00 90.00
Space group P4/mmm (No. 123)
Asymmetric unit:
Ca 0.0000 0.0000 0.0000
Sc 0.5000 0.5000 0.0000
Cd 0.5000 0.5000 0.5000
Pd 0.0000 0.5000 0.5000


Number 1: magnetic moment 0.00 μB per formula unit. Number 2: magnetic moment 0.00 μB per formula unit. Number 3: magnetic moment 0.00 μB per formula unit. Number 4: magnetic moment 0.00 μB per formula unit. Number 5: magnetic moment 0.00 μB per formula unit. Number 6: magnetic moment 0.00 μB per formula unit. Number 7: magnetic moment 0.00 μB per formula unit. Number 8: magnetic moment 0.00 μB per formula unit. Number 9: magnetic moment 0.00 μB per formula unit. Number 10: magnetic moment 0.00 μB per formula unit. Number 11: magnetic moment 0.00 μB per formula unit. Number 12: magnetic moment 0.00 μB per formula unit. Number 13: magnetic moment 0.00 μB per formula unit. Number 14: magnetic moment 0.00 μB per formula unit. Number 15: magnetic moment 0.00 μB per formula unit. Number 16: magnetic moment 0.00 μB per formula unit. Number 17: magnetic moment 0.00 μB per formula unit. Number 18: magnetic moment 0.00 μB per formula unit. Number 19: magnetic moment 0.00 μB per formula unit. Number 20: magnetic moment 0.00 μB per formula unit. Number 21: magnetic moment 0.00 μB per formula unit. Number 22: magnetic moment 0.00 μB per formula unit. Number 23: magnetic moment 0.07 μB per formula unit.